No. 1
Compound: CeBi2Pb
Source: the Alexandria database
Functional: PBE
Structure: relaxed

Geometry as CIF:
```
data_CeBi2Pb
_symmetry_space_group_name_H-M 'P 1'
_symmetry_Int_Tables_number 1
_cell_length_a 4.2776
_cell_length_b 4.2776
_cell_length_c 6.7888
_cell_angle_alpha 90.00
_cell_angle_beta 90.00
_cell_angle_gamma 90.00
loop_
_symmetry_equiv_pos_as_xyz
'x,y,z'
loop_
_atom_site_label
_atom_site_fract_x
_atom_site_fract_y
_atom_site_fract_z
_atom_site_occupancy
Ce1 0.0000 0.0000 0.0000 1
Bi1 0.5000 0.5000 0.2376 1
Bi2 0.5000 0.5000 0.7624 1
Pb1 0.0000 0.0000 0.5000 1
```

Output
Space-group type: P4/mmm
Crystal system: tetragonal
Energy above the most stable polymorph in this dataset: 51 meV/atom
DFT total energy: -4.7347 eV/atom

No. 2
Compound: Ce8Bi2Pb3
Source: the Alexandria database
Functional: PBE
Structure: relaxed

Geometry as CIF:
```
data_Ce8Bi2Pb3
_symmetry_space_group_name_H-M 'P 1'
_symmetry_Int_Tables_number 1
_cell_length_a 8.5002
_cell_length_b 8.5002
_cell_length_c 6.4679
_cell_angle_alpha 93.54
_cell_angle_beta 93.54
_cell_angle_gamma 60.91
loop_
_symmetry_equiv_pos_as_xyz
'x,y,z'
loop_
_atom_site_label
_atom_site_fract_x
_atom_site_fract_y
_atom_site_fract_z
_atom_site_occupancy
Ce1 0.0663 0.7458 0.9122 1
Ce2 0.1218 0.1218 0.5926 1
Ce3 0.2542 0.9337 0.0878 1
Ce4 0.2987 0.2987 0.4532 1
Ce5 0.7013 0.7013 0.5468 1
Ce6 0.7458 0.0663 0.9122 1
Ce7 0.8782 0.8782 0.4074 1
Ce8 0.9337 0.2542 0.0878 1
Bi1 0.2841 0.2841 0.9501 1
Bi2 0.7159 0.7159 0.0499 1
Pb1 0.3102 0.6898 0.5000 1
Pb2 0.5000 0.5000 0.0000 1
Pb3 0.6898 0.3102 0.5000 1
```

Output
Space-group type: C2/m
Crystal system: monoclinic
DFT total energy: -5.2709 eV/atom

No. 3
Compound: Ce5BiPb3
Source: the Alexandria database
Functional: PBE
Structure: relaxed

Geometry as CIF:
```
data_Ce5BiPb3
_symmetry_space_group_name_H-M 'P 1'
_symmetry_Int_Tables_number 1
_cell_length_a 9.7559
_cell_length_b 9.7559
_cell_length_c 6.6463
_cell_angle_alpha 90.00
_cell_angle_beta 90.00
_cell_angle_gamma 120.00
loop_
_symmetry_equiv_pos_as_xyz
'x,y,z'
loop_
_atom_site_label
_atom_site_fract_x
_atom_site_fract_y
_atom_site_fract_z
_atom_site_occupancy
Ce1 0.0000 0.2804 0.2500 1
Ce2 0.0000 0.7196 0.7500 1
Ce3 0.2804 0.0000 0.2500 1
Ce4 0.2804 0.2804 0.7500 1
Ce5 0.3333 0.6667 0.0000 1
Ce6 0.3333 0.6667 0.5000 1
Ce7 0.6667 0.3333 0.0000 1
Ce8 0.6667 0.3333 0.5000 1
Ce9 0.7196 0.0000 0.7500 1
Ce10 0.7196 0.7196 0.2500 1
Bi1 0.0000 0.0000 0.0000 1
Bi2 0.0000 0.0000 0.5000 1
Pb1 0.0000 0.3797 0.7500 1
Pb2 0.0000 0.6203 0.2500 1
Pb3 0.3797 0.0000 0.7500 1
Pb4 0.3797 0.3797 0.2500 1
Pb5 0.6203 0.0000 0.2500 1
Pb6 0.6203 0.6203 0.7500 1
```

Output
Space-group type: P6_3/mcm
Crystal system: hexagonal
DFT total energy: -5.4527 eV/atom

No. 4
Compound: Ce6Bi3Pb
Source: the Alexandria database
Functional: PBE
Structure: relaxed

Geometry as CIF:
```
data_Ce6Bi3Pb
_symmetry_space_group_name_H-M 'P 1'
_symmetry_Int_Tables_number 1
_cell_length_a 8.8066
_cell_length_b 8.8066
_cell_length_c 8.8066
_cell_angle_alpha 83.31
_cell_angle_beta 83.31
_cell_angle_gamma 83.31
loop_
_symmetry_equiv_pos_as_xyz
'x,y,z'
loop_
_atom_site_label
_atom_site_fract_x
_atom_site_fract_y
_atom_site_fract_z
_atom_site_occupancy
Ce1 0.1256 0.7272 0.7909 1
Ce2 0.1443 0.4354 0.5055 1
Ce3 0.2091 0.8744 0.2728 1
Ce4 0.2728 0.2091 0.8744 1
Ce5 0.4354 0.5055 0.1443 1
Ce6 0.4945 0.8557 0.5646 1
Ce7 0.5055 0.1443 0.4354 1
Ce8 0.5646 0.4945 0.8557 1
Ce9 0.7272 0.7909 0.1256 1
Ce10 0.7909 0.1256 0.7272 1
Ce11 0.8557 0.5646 0.4945 1
Ce12 0.8744 0.2728 0.2091 1
Bi1 0.0688 0.5737 0.1627 1
Bi2 0.1627 0.0688 0.5737 1
Bi3 0.4263 0.8373 0.9312 1
Bi4 0.5737 0.1627 0.0688 1
Bi5 0.8373 0.9312 0.4263 1
Bi6 0.9312 0.4263 0.8373 1
Pb1 0.0000 0.0000 0.0000 1
Pb2 0.5000 0.5000 0.5000 1
```

Output
Space-group type: R-3
Crystal system: trigonal
DFT total energy: -5.4349 eV/atom

No. 5
Compound: CeBi6Pb
Source: the Alexandria database
Functional: PBE
Structure: relaxed

Geometry as CIF:
```
data_CeBi6Pb
_symmetry_space_group_name_H-M 'P 1'
_symmetry_Int_Tables_number 1
_cell_length_a 4.3217
_cell_length_b 12.5135
_cell_length_c 12.5135
_cell_angle_alpha 22.99
_cell_angle_beta 90.00
_cell_angle_gamma 90.00
loop_
_symmetry_equiv_pos_as_xyz
'x,y,z'
loop_
_atom_site_label
_atom_site_fract_x
_atom_site_fract_y
_atom_site_fract_z
_atom_site_occupancy
Ce1 0.0000 0.0000 0.0000 1
Bi1 0.0000 0.2213 0.2213 1
Bi2 0.0000 0.6129 0.6129 1
Bi3 0.0000 0.8572 0.8572 1
Bi4 0.5000 0.1134 0.1134 1
Bi5 0.5000 0.4942 0.4942 1
Bi6 0.5000 0.7570 0.7570 1
Pb1 0.5000 0.3667 0.3667 1
```

Output
Space-group type: Amm2
Crystal system: orthorhombic
DFT total energy: -4.2039 eV/atom

No. 6
Compound: Ce4BiPb
Source: the Alexandria database
Functional: PBE
Structure: relaxed

Geometry as CIF:
```
data_Ce4BiPb
_symmetry_space_group_name_H-M 'P 1'
_symmetry_Int_Tables_number 1
_cell_length_a 9.0422
_cell_length_b 9.0422
_cell_length_c 7.8442
_cell_angle_alpha 102.04
_cell_angle_beta 102.04
_cell_angle_gamma 36.47
loop_
_symmetry_equiv_pos_as_xyz
'x,y,z'
loop_
_atom_site_label
_atom_site_fract_x
_atom_site_fract_y
_atom_site_fract_z
_atom_site_occupancy
Ce1 0.0288 0.8410 0.5363 1
Ce2 0.1341 0.5574 0.9097 1
Ce3 0.1590 0.9712 0.9637 1
Ce4 0.4426 0.8659 0.5903 1
Ce5 0.5574 0.1341 0.4097 1
Ce6 0.8410 0.0288 0.0363 1
Ce7 0.8659 0.4426 0.0903 1
Ce8 0.9712 0.1590 0.4637 1
Bi1 0.4141 0.5859 0.2500 1
Bi2 0.5859 0.4141 0.7500 1
Pb1 0.0000 0.5000 0.5000 1
Pb2 0.5000 0.0000 0.0000 1
```

Output
Space-group type: C2/c
Crystal system: monoclinic
Energy above the most stable polymorph in this dataset: 0 meV/atom
DFT total energy: -5.5162 eV/atom

No. 7
Compound: Ce5BiPb
Source: the Alexandria database
Functional: PBE
Structure: relaxed

Geometry as CIF:
```
data_Ce5BiPb
_symmetry_space_group_name_H-M 'P 1'
_symmetry_Int_Tables_number 1
_cell_length_a 8.7887
_cell_length_b 8.7887
_cell_length_c 6.4168
_cell_angle_alpha 104.85
_cell_angle_beta 104.85
_cell_angle_gamma 61.71
loop_
_symmetry_equiv_pos_as_xyz
'x,y,z'
loop_
_atom_site_label
_atom_site_fract_x
_atom_site_fract_y
_atom_site_fract_z
_atom_site_occupancy
Ce1 0.0955 0.3258 0.9446 1
Ce2 0.1454 0.8546 0.7500 1
Ce3 0.3258 0.0955 0.4446 1
Ce4 0.3585 0.4001 0.8904 1
Ce5 0.4001 0.3585 0.3904 1
Ce6 0.5999 0.6415 0.6096 1
Ce7 0.6415 0.5999 0.1096 1
Ce8 0.6742 0.9045 0.5554 1
Ce9 0.8546 0.1454 0.2500 1
Ce10 0.9045 0.6742 0.0554 1
Bi1 0.2321 0.7679 0.2500 1
Bi2 0.7679 0.2321 0.7500 1
Pb1 0.0000 0.5000 0.5000 1
Pb2 0.5000 0.0000 0.0000 1
```

Output
Space-group type: C2/c
Crystal system: monoclinic
DFT total energy: -5.5959 eV/atom

No. 8
Compound: Ce3Bi4Pb
Source: the Alexandria database
Functional: PBE
Structure: relaxed

Geometry as CIF:
```
data_Ce3Bi4Pb
_symmetry_space_group_name_H-M 'P 1'
_symmetry_Int_Tables_number 1
_cell_length_a 6.5473
_cell_length_b 6.5473
_cell_length_c 6.5473
_cell_angle_alpha 90.00
_cell_angle_beta 90.00
_cell_angle_gamma 90.00
loop_
_symmetry_equiv_pos_as_xyz
'x,y,z'
loop_
_atom_site_label
_atom_site_fract_x
_atom_site_fract_y
_atom_site_fract_z
_atom_site_occupancy
Ce1 0.0000 0.0000 0.5000 1
Ce2 0.0000 0.5000 0.0000 1
Ce3 0.5000 0.0000 0.0000 1
Bi1 0.0000 0.0000 0.0000 1
Bi2 0.0000 0.5000 0.5000 1
Bi3 0.5000 0.0000 0.5000 1
Bi4 0.5000 0.5000 0.0000 1
Pb1 0.5000 0.5000 0.5000 1
```

Output
Space-group type: Pm-3m
Crystal system: cubic
DFT total energy: -5.1766 eV/atom

No. 9
Compound: Ce6Bi2Pb
Source: the Alexandria database
Functional: PBE
Structure: relaxed

Geometry as CIF:
```
data_Ce6Bi2Pb
_symmetry_space_group_name_H-M 'P 1'
_symmetry_Int_Tables_number 1
_cell_length_a 8.9197
_cell_length_b 8.9197
_cell_length_c 8.9197
_cell_angle_alpha 147.72
_cell_angle_beta 121.73
_cell_angle_gamma 68.20
loop_
_symmetry_equiv_pos_as_xyz
'x,y,z'
loop_
_atom_site_label
_atom_site_fract_x
_atom_site_fract_y
_atom_site_fract_z
_atom_site_occupancy
Ce1 0.0838 0.3344 0.7494 1
Ce2 0.2464 0.0000 0.2464 1
Ce3 0.4150 0.6656 0.7494 1
Ce4 0.5850 0.3344 0.2506 1
Ce5 0.7536 0.0000 0.7536 1
Ce6 0.9162 0.6656 0.2506 1
Bi1 0.3337 0.8337 0.5000 1
Bi2 0.6663 0.1663 0.5000 1
Pb1 0.0000 0.5000 0.5000 1
```

Output
Space-group type: Immm
Crystal system: orthorhombic
DFT total energy: -5.3651 eV/atom

No. 10
Compound: Ce7BiPb3
Source: the Alexandria database
Functional: PBE
Structure: relaxed

Geometry as CIF:
```
data_Ce7BiPb3
_symmetry_space_group_name_H-M 'P 1'
_symmetry_Int_Tables_number 1
_cell_length_a 8.2946
_cell_length_b 8.2946
_cell_length_c 8.2946
_cell_angle_alpha 136.22
_cell_angle_beta 112.16
_cell_angle_gamma 84.31
loop_
_symmetry_equiv_pos_as_xyz
'x,y,z'
loop_
_atom_site_label
_atom_site_fract_x
_atom_site_fract_y
_atom_site_fract_z
_atom_site_occupancy
Ce1 0.0000 0.0000 0.0000 1
Ce2 0.1121 0.7555 0.3566 1
Ce3 0.3536 0.5000 0.8536 1
Ce4 0.3989 0.7555 0.6434 1
Ce5 0.6011 0.2445 0.3566 1
Ce6 0.6464 0.5000 0.1464 1
Ce7 0.8879 0.2445 0.6434 1
Bi1 0.0000 0.5000 0.5000 1
Pb1 0.2597 0.2597 0.0000 1
Pb2 0.5000 0.0000 0.5000 1
Pb3 0.7403 0.7403 0.0000 1
```

Output
Space-group type: Immm
Crystal system: orthorhombic
DFT total energy: -5.4292 eV/atom

No. 11
Compound: Ce2Bi3Pb
Source: the Alexandria database
Functional: PBE
Structure: relaxed

Geometry as CIF:
```
data_Ce2Bi3Pb
_symmetry_space_group_name_H-M 'P 1'
_symmetry_Int_Tables_number 1
_cell_length_a 8.0700
_cell_length_b 8.0700
_cell_length_c 8.0700
_cell_angle_alpha 146.62
_cell_angle_beta 132.31
_cell_angle_gamma 59.45
loop_
_symmetry_equiv_pos_as_xyz
'x,y,z'
loop_
_atom_site_label
_atom_site_fract_x
_atom_site_fract_y
_atom_site_fract_z
_atom_site_occupancy
Ce1 0.1637 0.1637 0.0000 1
Ce2 0.8363 0.8363 0.0000 1
Bi1 0.0000 0.5000 0.5000 1
Bi2 0.3237 0.8237 0.5000 1
Bi3 0.6763 0.1763 0.5000 1
Pb1 0.5000 0.5000 0.0000 1
```

Output
Space-group type: Immm
Crystal system: orthorhombic
Energy above the most stable polymorph in this dataset: 55 meV/atom
DFT total energy: -5.0138 eV/atom

No. 12
Compound: CeBi2Pb2
Source: the Alexandria database
Functional: PBE
Structure: relaxed

Geometry as CIF:
```
data_CeBi2Pb2
_symmetry_space_group_name_H-M 'P 1'
_symmetry_Int_Tables_number 1
_cell_length_a 14.2362
_cell_length_b 14.2362
_cell_length_c 4.7484
_cell_angle_alpha 90.00
_cell_angle_beta 90.00
_cell_angle_gamma 161.10
loop_
_symmetry_equiv_pos_as_xyz
'x,y,z'
loop_
_atom_site_label
_atom_site_fract_x
_atom_site_fract_y
_atom_site_fract_z
_atom_site_occupancy
Ce1 0.1579 0.8421 0.7500 1
Ce2 0.8421 0.1579 0.2500 1
Bi1 0.2497 0.7503 0.2500 1
Bi2 0.3579 0.6421 0.7500 1
Bi3 0.6421 0.3579 0.2500 1
Bi4 0.7503 0.2497 0.7500 1
Pb1 0.0520 0.9480 0.2500 1
Pb2 0.4506 0.5494 0.2500 1
Pb3 0.5494 0.4506 0.7500 1
Pb4 0.9480 0.0520 0.7500 1
```

Output
Space-group type: Cmcm
Crystal system: orthorhombic
DFT total energy: -4.5540 eV/atom

- What is the formula in the third record?
  Ce5BiPb3

- What is the DFT total energy in the second record?
  -5.2709 eV/atom